(1)
Compound: CaYP2
Source: Alexandria via LeMat-Bulk
Functional: PBE
Structure: relaxed

Summary:
Crystal system: tetragonal
Energy above the most stable polymorph in this dataset in eV per atom: 0.039
SG: P4/mmm

a = 4.0575 Å, b = 4.0575 Å, c = 5.7502 Å
α = 90.00°, β = 90.00°, γ = 90.00°
Fractional coordinates of all 4 atoms:
P 0.5000 0.5000 0.3750
P 0.0000 0.0000 0.8750
Ca 0.5000 0.5000 0.8750
Y 0.0000 0.0000 0.3750

***

(2)
Compound: CaYP4
Source: Alexandria via LeMat-Bulk
Functional: PBE
Structure: relaxed

Summary:
Crystal system: cubic
SG: F-43m

a = 5.4057 Å, b = 5.4057 Å, c = 5.4057 Å
α = 60.00°, β = 60.00°, γ = 60.00°
Fractional coordinates of all 6 atoms:
Y 0.7500 0.7500 0.7500
P 0.3755 0.8736 0.3755
P 0.3755 0.3755 0.3755
P 0.3755 0.3755 0.8736
P 0.8736 0.3755 0.3755
Ca 0.0000 0.0000 0.0000

***

(3)
Compound: CaYP2
Source: Alexandria via LeMat-Bulk
Functional: PBE
Structure: relaxed

Summary:
Crystal system: monoclinic
Energy above the most stable polymorph in this dataset in eV per atom: 0.236
SG: P2/m

a = 3.6475 Å, b = 3.5305 Å, c = 7.2078 Å
α = 73.97°, β = 90.00°, γ = 90.00°
Fractional coordinates of all 4 atoms:
Ca 0.5000 0.7500 0.7500
Y 0.5000 0.2500 0.2500
P 0.0000 0.9952 0.0126
P 0.0000 0.5048 0.4874

***

(4)
Compound: CaYP
Source: Alexandria via LeMat-Bulk
Functional: PBE
Structure: relaxed

Summary:
Crystal system: tetragonal
SG: I4mm

a = 6.8722 Å, b = 6.8722 Å, c = 6.8722 Å
α = 149.85°, β = 149.85°, γ = 43.16°
Fractional coordinates of all 3 atoms:
P 0.3201 0.3201 0.0000
Y 0.7144 0.7144 0.0000
Ca 0.9655 0.9655 0.0000

***

(5)
Compound: CaYP2
Source: Alexandria via LeMat-Bulk
Functional: PBE
Structure: relaxed

Summary:
Crystal system: orthorhombic
Energy above the most stable polymorph in this dataset in eV per atom: 0.284
SG: Imm2

a = 6.0615 Å, b = 6.0615 Å, c = 6.0615 Å
α = 141.29°, β = 141.28°, γ = 55.90°
Fractional coordinates of all 4 atoms:
Y 0.4992 0.4992 0.0000
P 0.0003 0.0003 0.0000
P 0.2511 0.7511 0.5000
Ca 0.7493 0.2493 0.5000

***

(6)
Compound: CaYP2
Source: Alexandria via LeMat-Bulk
Functional: PBE
Structure: relaxed

Summary:
Crystal system: orthorhombic
Energy above the most stable polymorph in this dataset in eV per atom: 0.259
SG: Immm

a = 5.0669 Å, b = 5.0669 Å, c = 5.0669 Å
α = 128.36°, β = 114.64°, γ = 87.84°
Fractional coordinates of all 4 atoms:
Y 0.2500 0.7500 0.5000
Ca 0.7500 0.2500 0.5000
P 0.0010 0.0010 0.0000
P 0.4990 0.4990 0.0000

***

no.,calculated formation energy (kJ per mole of atoms)
1,-111.4
2,-20.6
3,-92.4
4,-72.9
5,-87.7
6,-90.1